Crystalline RbP2OsO at its relaxed geometry, computed with GGA-PBE.

Properties
- Energy: -3.06 eV/atom
- E_form (uncorrected): 2538 meV per atom
- Magnetic moment: 2.4 μB per cell
- ΔE to the lowest computed polymorph: 2401 meV/atom
- Space-group type: P4/mmm

Cell and atoms, written as POSCAR:
```
RbP2OsO
1.0
-1.184 -4.260 2.613
-1.579 -2.229 -4.350
3.756 -1.431 -0.630
P Os O Rb
2 1 1 1
Direct
0.000 0.500 0.000
0.500 0.000 0.000
0.500 0.500 0.500
0.000 0.000 0.500
0.000 0.000 0.000
```